(1)
First-principles (SCAN) data for a crystal of LiZnBr2 relaxed with PBEsol, as listed in Alexandria via LeMat-Bulk.

a b c (Å): 3.846 3.846 7.541
angles (deg): 90.00 90.00 121.34
Sites, in units of the cell vectors:
Li 0.000 0.000 0.000
Zn 0.000 0.000 0.500
Br 0.500 0.500 0.233
Br 0.500 0.500 0.767

Properties
- Polymorph energy (0 for the lowest one): 0.0 kJ per mole of atoms

(2)
First-principles (SCAN) data for a crystal of Li2ZnBr relaxed with PBEsol, as listed in Alexandria via LeMat-Bulk.

a b c (Å): 4.954 4.954 4.954
angles (deg): 60.00 60.00 60.00
Sites, in units of the cell vectors:
Li 0.000 0.000 0.000
Li 0.250 0.250 0.250
Zn 0.750 0.750 0.750
Br 0.500 0.500 0.500

Properties
- Polymorph energy (0 for the lowest one): 53.7 kJ per mole of atoms

(3)
First-principles (SCAN) data for a crystal of Li2ZnBr relaxed with PBEsol, as listed in Alexandria via LeMat-Bulk.

a b c (Å): 3.389 3.388 6.145
angles (deg): 90.00 90.71 90.00
Sites, in units of the cell vectors:
Li 0.006 0.000 0.239
Li 0.994 0.000 0.761
Zn 0.500 0.500 0.000
Br 0.500 0.500 0.500

Properties
- Polymorph energy (0 for the lowest one): 0.0 kJ per mole of atoms

(4)
First-principles (SCAN) data for a crystal of Li2ZrBr relaxed with PBEsol, as listed in Alexandria via LeMat-Bulk.

a b c (Å): 6.011 6.011 6.011
angles (deg): 101.22 101.22 127.65
Sites, in units of the cell vectors:
Li 0.067 0.625 0.942
Li 0.375 0.317 0.442
Li 0.683 0.125 0.058
Li 0.875 0.933 0.558
Zr 0.250 0.750 0.500
Zr 0.500 0.500 0.000
Br 0.000 0.000 0.000
Br 0.750 0.250 0.500

| no. | E_form (uncorrected) (eV per atom) | size of the total moment (μB/cell) | energy (eV per atom) |
| --- | --- | --- | --- |
| 1 | -0.708 | 0.00 | -14.41 |
| 2 | -0.081 | 0.00 | -9.52 |
| 3 | -0.637 | 0.00 | -10.08 |
| 4 | -0.032 | 0.00 | -13.77 |